The following is a PBE calculation of an optimized crystal structure of SrNdZrTiO6, from Alexandria via LeMat-Bulk.

POSCAR file:
```
SrNdZrTiO6
1.0
0.0000 4.0604 4.0604
4.0604 0.0000 4.0604
4.0604 4.0604 0.0000
Sr Nd Zr Ti O
1 1 1 1 6
Direct
0.0000 0.0000 0.0000
0.5000 0.5000 0.5000
0.7500 0.7500 0.7500
0.2500 0.2500 0.2500
0.0068 0.0068 0.4932
0.0068 0.4932 0.0068
0.0068 0.4932 0.4932
0.4932 0.0068 0.0068
0.4932 0.0068 0.4932
0.4932 0.4932 0.0068
```

Output
- Formation energy without anion corrections: -70.69 kcal/mol of atoms
- Space-group type: F-43m, No. 216
- M_tot: 0.0 μB/f.u.

The following is a PBE calculation of an optimized crystal structure of SrNd2TlO6, from Alexandria via LeMat-Bulk.

POSCAR file:
```
SrNd2TlO6
1.0
3.0379 1.7540 5.3021
-3.0379 1.7540 5.3021
0.0000 -3.5079 5.3021
Sr Nd Tl O
1 2 1 6
Direct
0.0000 0.0000 0.0000
0.2745 0.2745 0.2745
0.7791 0.7791 0.7791
0.4906 0.4906 0.4906
0.0963 0.6516 0.4081
0.1908 0.5868 0.8711
0.4081 0.0963 0.6516
0.5868 0.8711 0.1908
0.6516 0.4081 0.0963
0.8711 0.1908 0.5868
```

Output
- Formation energy without anion corrections: -52.56 kcal/mol of atoms
- Space-group type: R3, No. 146
- M_tot: 1.1 μB/f.u.

The following is a PBE calculation of an optimized crystal structure of Sr2NdUO6, from Alexandria via LeMat-Bulk.

POSCAR file:
```
Sr2NdUO6
1.0
0.0000 4.4408 4.4408
4.4408 0.0000 4.4408
4.4408 4.4408 0.0000
Sr Nd U O
2 1 1 6
Direct
0.2500 0.2500 0.2500
0.7500 0.7500 0.7500
0.0000 0.0000 0.0000
0.5000 0.5000 0.5000
0.2594 0.2594 0.7406
0.2594 0.7406 0.2594
0.2594 0.7406 0.7406
0.7406 0.2594 0.2594
0.7406 0.2594 0.7406
0.7406 0.7406 0.2594
```

Output
- Formation energy without anion corrections: -69.96 kcal/mol of atoms
- Energy above the lowest structure with this stoichiometry: 0.1766 eV per atom
- Space-group type: Fm-3m, No. 225
- M_tot: 1.0 μB/f.u.

Among the records above, which one has the highest formation energy without anion corrections? SrNd2TlO6